No. 1
Computed, not measured: a relaxed MnP2Br crystal at the PBE-GGA level of DFT.

CIF file:
```
data_MnP2Br
_symmetry_space_group_name_H-M 'P 4 m m'
_symmetry_Int_Tables_number 99
_cell_length_a 3.321
_cell_length_b 3.321
_cell_length_c 7.615
_cell_angle_alpha 90.00
_cell_angle_beta 90.00
_cell_angle_gamma 90.00
loop_
_symmetry_equiv_pos_as_xyz
'x,y,z'
'-y,x,z'
'-x,-y,z'
'y,-x,z'
'-x,y,z'
'y,x,z'
'x,-y,z'
'-y,-x,z'
loop_
_atom_site_label
_atom_site_fract_x
_atom_site_fract_y
_atom_site_fract_z
Mn1 0.000 0.000 0.000
P1 0.000 0.000 0.313
P2 0.500 0.500 0.238
Br1 0.500 0.500 0.795
```

Output
The total DFT energy (no corrections) comes out at -5.351 eV/atom. For the energy relative to the elements, uncorrected, the calculation gives 0.064 eV per atom.

=====

No. 2
Computed, not measured: a relaxed LiCrPb2 crystal at the PBE-GGA level of DFT.

CIF file:
```
data_LiCrPb2
_symmetry_space_group_name_H-M 'I -4 2 d'
_symmetry_Int_Tables_number 122
_symmetry_space_group_name_Hall 'I -4 2bw'
_cell_length_a 4.598
_cell_length_b 4.598
_cell_length_c 19.276
_cell_angle_alpha 90.00
_cell_angle_beta 90.00
_cell_angle_gamma 90.00
loop_
_atom_site_label
_atom_site_fract_x
_atom_site_fract_y
_atom_site_fract_z
Li1 0.000 0.000 0.000
Cr1 0.000 0.000 0.500
Pb1 0.249 0.250 0.125
```

Output
The value obtained for the energy of formation is 0.387 eV/atom. The total DFT energy (no corrections) comes out at -4.352 eV/atom.

=====

No. 3
Computed, not measured: a relaxed LaTcMo3 crystal at the PBE-GGA level of DFT.

CIF file:
```
data_LaTcMo3
_symmetry_space_group_name_H-M 'P m -3 m'
_symmetry_Int_Tables_number 221
_symmetry_space_group_name_Hall '-P 4 2 3'
_cell_length_a 4.819
_cell_length_b 4.819
_cell_length_c 4.819
_cell_angle_alpha 90.00
_cell_angle_beta 90.00
_cell_angle_gamma 90.00
loop_
_atom_site_label
_atom_site_fract_x
_atom_site_fract_y
_atom_site_fract_z
La1 0.000 0.000 0.000
Tc1 0.500 0.500 0.500
Mo1 0.000 0.500 0.500
```

Output
The value obtained for the energy of formation is 1.005 eV/atom. The total DFT energy (no corrections) comes out at -8.553 eV/atom.

=====

No. 4
Computed, not measured: a relaxed Ho4HgRu2Au crystal at the PBE-GGA level of DFT.

CIF file:
```
data_Ho4HgRu2Au
_symmetry_space_group_name_H-M 'R -3 m'
_symmetry_Int_Tables_number 166
_symmetry_space_group_name_Hall '-R 3 2"'
_cell_length_a 4.9704
_cell_length_b 4.9704
_cell_length_c 24.2918
_cell_angle_alpha 90.00
_cell_angle_beta 90.00
_cell_angle_gamma 120.00
loop_
_atom_site_label
_atom_site_fract_x
_atom_site_fract_y
_atom_site_fract_z
Ho1 0.0000 0.0000 0.1230
Ho2 0.0000 0.0000 0.3730
Hg1 0.0000 0.0000 0.5000
Ru1 0.0000 0.0000 0.2497
Au1 0.0000 0.0000 0.0000
```

Output
The value obtained for the energy of formation is -0.491 eV/atom. The total DFT energy (no corrections) comes out at -5.546 eV/atom.